1.
PmSm2GeN4 | the Alexandria database | PBE | relaxed; magnetic moment = 0.000 μB/atom; formation energy (no corrections) = -0.9596 eV per atom
1.0
-0.171 -2.235 2.806
3.895 -2.414 -3.985
8.977 5.866 5.220
Sm N Pm Ge
4 8 2 2
Direct
0.369 0.739 0.544
0.369 0.739 0.956
0.631 0.261 0.456
0.631 0.261 0.044
0.727 0.454 0.869
0.727 0.454 0.631
0.273 0.546 0.369
0.273 0.546 0.131
0.577 0.154 0.250
0.000 0.000 0.000
0.000 0.000 0.500
0.423 0.846 0.750
0.898 0.796 0.250
0.102 0.204 0.750
0.164 0.327 0.250
0.836 0.673 0.750


2.
SrPmGeN3 | the Alexandria database | PBE | relaxed; magnetic moment = 0.000 μB/atom; formation energy (no corrections) = -0.5931 eV per atom
1.0
4.041 0.000 0.000
-2.021 6.498 -0.040
0.000 -1.963 7.016
N Sr Pm Ge
6 2 2 2
Direct
0.156 0.313 0.340
0.149 0.298 0.808
0.844 0.687 0.660
0.504 0.007 0.276
0.496 0.993 0.724
0.851 0.702 0.192
0.649 0.298 0.073
0.351 0.702 0.927
0.650 0.300 0.577
0.350 0.700 0.423
0.003 0.006 0.261
0.997 0.994 0.739